Y5Lu3S12 | PBE-GGA | relaxed

Lattice parameters (Å, degrees): 13.8185 13.8185 13.8185 109.47 109.47 109.47
Last column: nearest neighbours and their distance in Å.
Element x y z (fractional)
Lu (0.7500, 0.3750, 0.1250)  8 S 2.87-3.04
Lu (0.8750, 0.7500, 0.1250)  8 S 2.87-3.04
Lu (0.3750, 0.7500, 0.6250)  8 S 2.87-3.04
Lu (0.2500, 0.1250, 0.3750)  8 S 2.87-3.04
Lu (0.8750, 0.1250, 0.2500)  8 S 2.87-3.04
Lu (0.3750, 0.6250, 0.2500)  8 S 2.87-3.04
Lu (0.6250, 0.3750, 0.7500)  8 S 2.87-3.04
Lu (0.1250, 0.8750, 0.7500)  8 S 2.87-3.04
Lu (0.7500, 0.8750, 0.6250)  8 S 2.87-3.04
Lu (0.6250, 0.2500, 0.3750)  8 S 2.87-3.04
Lu (0.1250, 0.2500, 0.8750)  8 S 2.87-3.04
Lu (0.2500, 0.6250, 0.8750)  8 S 2.87-3.04
Y (0.1250, 0.3750, 0.2500)  4 S 2.55
Y (0.0000, 0.5000, 0.0000)  6 S 2.73
Y (0.0000, 0.0000, 0.0000)  6 S 2.73
Y (0.3750, 0.2500, 0.1250)  4 S 2.55
Y (0.5000, 0.0000, 0.5000)  6 S 2.73
Y (0.5000, 0.5000, 0.0000)  6 S 2.73
Y (0.1250, 0.7500, 0.3750)  4 S 2.55
Y (0.7500, 0.1250, 0.8750)  4 S 2.55
Y (0.7500, 0.6250, 0.3750)  4 S 2.55
Y (0.3750, 0.1250, 0.7500)  4 S 2.55
Y (0.6250, 0.8750, 0.2500)  4 S 2.55
Y (0.5000, 0.5000, 0.5000)  6 S 2.73
Y (0.5000, 0.0000, 0.0000)  6 S 2.73
Y (0.0000, 0.0000, 0.5000)  6 S 2.73
Y (0.2500, 0.3750, 0.6250)  4 S 2.55
Y (0.2500, 0.8750, 0.1250)  4 S 2.55
Y (0.0000, 0.5000, 0.5000)  6 S 2.73
Y (0.8750, 0.2500, 0.6250)  4 S 2.55
Y (0.6250, 0.7500, 0.8750)  4 S 2.55
Y (0.8750, 0.6250, 0.7500)  4 S 2.55
S (0.7269, 0.1316, 0.0525)  2 Y 2.55-2.73
S (0.3256, 0.5525, 0.4209)  2 Y 2.55-2.73
S (0.9475, 0.3684, 0.2731)  2 Y 2.55-2.73
S (0.5525, 0.2269, 0.1316)  2 Y 2.55-2.73
S (0.5954, 0.7269, 0.6744)  2 Y 2.55-2.73
S (0.9475, 0.5791, 0.1744)  2 Y 2.55-2.73
S (0.3256, 0.7731, 0.4046)  2 Y 2.55-2.73
S (0.0791, 0.9046, 0.1316)  2 Y 2.55-2.73
S (0.5791, 0.9475, 0.6744)  2 Y 2.55-2.73
S (0.7269, 0.5954, 0.1744)  2 Y 2.55-2.73
S (0.7731, 0.4475, 0.3684)  2 Y 2.55-2.73
S (0.8256, 0.9209, 0.0525)  2 Y 2.55-2.73
S (0.1316, 0.7269, 0.5525)  2 Y 2.55-2.73
S (0.3684, 0.4209, 0.0954)  2 Y 2.55-2.73
S (0.0954, 0.9209, 0.3684)  2 Y 2.55-2.73
S (0.4046, 0.1316, 0.5791)  2 Y 2.55-2.73
S (0.0954, 0.1744, 0.2269)  2 Y 2.55-2.73
S (0.4475, 0.6744, 0.0791)  2 Y 2.55-2.73
S (0.8256, 0.9046, 0.2731)  2 Y 2.55-2.73
S (0.1316, 0.4046, 0.0791)  2 Y 2.55-2.73
S (0.3684, 0.9475, 0.7731)  2 Y 2.55-2.73
S (0.5791, 0.6316, 0.4046)  2 Y 2.55-2.73
S (0.9209, 0.8256, 0.5525)  2 Y 2.55-2.73
S (0.7731, 0.3256, 0.9046)  2 Y 2.55-2.73
S (0.4209, 0.3684, 0.5954)  2 Y 2.55-2.73
S (0.0791, 0.1744, 0.4475)  2 Y 2.55-2.73
S (0.2269, 0.6744, 0.0954)  2 Y 2.55-2.73
S (0.1744, 0.0954, 0.7269)  2 Y 2.55-2.73
S (0.6316, 0.0525, 0.2269)  2 Y 2.55-2.73
S (0.8684, 0.5954, 0.9209)  2 Y 2.55-2.73
S (0.5525, 0.3256, 0.9209)  2 Y 2.55-2.73
S (0.5954, 0.8684, 0.4209)  2 Y 2.55-2.73
S (0.9046, 0.8256, 0.7731)  2 Y 2.55-2.73
S (0.9046, 0.0791, 0.6316)  2 Y 2.55-2.73
S (0.8684, 0.2731, 0.4475)  2 Y 2.55-2.73
S (0.1744, 0.0791, 0.9475)  2 Y 2.55-2.73
S (0.6316, 0.5791, 0.9046)  2 Y 2.55-2.73
S (0.4209, 0.0525, 0.3256)  2 Y 2.55-2.73
S (0.2731, 0.4046, 0.8256)  2 Y 2.55-2.73
S (0.2269, 0.5525, 0.6316)  2 Y 2.55-2.73
S (0.9209, 0.0954, 0.8684)  2 Y 2.55-2.73
S (0.6744, 0.2269, 0.5954)  2 Y 2.55-2.73
S (0.4475, 0.7731, 0.8684)  2 Y 2.55-2.73
S (0.0525, 0.4209, 0.8256)  2 Y 2.55-2.73
S (0.4046, 0.2731, 0.3256)  2 Y 2.55-2.73
S (0.0525, 0.6316, 0.7269)  2 Y 2.55-2.73
S (0.6744, 0.4475, 0.5791)  2 Y 2.55-2.73
S (0.2731, 0.8684, 0.9475)  2 Y 2.55-2.73

Calculated values
* DOS at the Fermi energy: 0.00 states/eV/atom
* formation energy from raw total energies: -1.79 eV per atom
* V: 2031 Å³/cell
* total magnetic moment: 0.00 Bohr magnetons per cell